(1)
Computed, not measured: a relaxed YPaHg2 crystal at the PBE-GGA level of DFT.

Results
Total magnetic moment (μB/atom): 0.604
Raw total energy (Ha/atom): -0.15453
ΔE_f (eV per atom): -0.064
Excess energy over the best structure of this formula in the dataset (meV/atom): 99

```
data_YPaHg2
_chemical_formula_sum 'Y1 Pa1 Hg2'
_symmetry_space_group_name_H-M 'P 1'
_symmetry_Int_Tables_number 1
_symmetry_space_group_name_Hall 'P 1'
_cell_length_a 5.286
_cell_length_b 5.286
_cell_length_c 5.286
_cell_angle_alpha 60.00
_cell_angle_beta 60.00
_cell_angle_gamma 60.00
loop_
_atom_site_label
_atom_site_type_symbol
_atom_site_fract_x
_atom_site_fract_y
_atom_site_fract_z
Y1 Y 0.000 0.000 0.000
Pa1 Pa 0.500 0.500 0.500
Hg1 Hg 0.250 0.250 0.250
Hg2 Hg 0.750 0.750 0.750
```

(2)
Computed, not measured: a relaxed YPaHg2 crystal at the PBE-GGA level of DFT.

Results
Total magnetic moment (μB/atom): 0.285
Raw total energy (Ha/atom): -0.15817
ΔE_f (eV per atom): -0.163
Excess energy over the best structure of this formula in the dataset (meV/atom): 0

```
data_YPaHg2
_chemical_formula_sum 'Y1 Pa1 Hg2'
_symmetry_space_group_name_H-M 'P 1'
_symmetry_Int_Tables_number 1
_symmetry_space_group_name_Hall 'P 1'
_cell_length_a 3.350
_cell_length_b 3.350
_cell_length_c 8.864
_cell_angle_alpha 90.00
_cell_angle_beta 90.00
_cell_angle_gamma 90.00
loop_
_atom_site_label
_atom_site_type_symbol
_atom_site_fract_x
_atom_site_fract_y
_atom_site_fract_z
Y1 Y 0.000 0.000 0.000
Pa1 Pa 0.000 0.000 0.500
Hg1 Hg 0.500 0.500 0.245
Hg2 Hg 0.500 0.500 0.755
```

(3)
Computed, not measured: a relaxed YPaHg2 crystal at the PBE-GGA level of DFT.

Results
Total magnetic moment (μB/atom): 0.474
Raw total energy (Ha/atom): -0.15370
ΔE_f (eV per atom): -0.042
Excess energy over the best structure of this formula in the dataset (meV/atom): 121

```
data_YPaHg2
_chemical_formula_sum 'Y1 Pa1 Hg2'
_symmetry_space_group_name_H-M 'P 1'
_symmetry_Int_Tables_number 1
_symmetry_space_group_name_Hall 'P 1'
_cell_length_a 4.812
_cell_length_b 4.812
_cell_length_c 4.402
_cell_angle_alpha 90.00
_cell_angle_beta 90.00
_cell_angle_gamma 90.00
loop_
_atom_site_label
_atom_site_type_symbol
_atom_site_fract_x
_atom_site_fract_y
_atom_site_fract_z
Y1 Y 0.000 0.000 0.000
Pa1 Pa 0.500 0.500 0.000
Hg1 Hg 0.000 0.500 0.500
Hg2 Hg 0.500 0.000 0.500
```

(4)
Computed, not measured: a relaxed Pa2ZnHg crystal at the PBE-GGA level of DFT.

Results
Total magnetic moment (μB/atom): 0.001
Raw total energy (Ha/atom): -0.18721
ΔE_f (eV per atom): 0.048
Excess energy over the best structure of this formula in the dataset (meV/atom): 11

```
data_Pa2ZnHg
_chemical_formula_sum 'Pa2 Zn1 Hg1'
_symmetry_space_group_name_H-M 'P 1'
_symmetry_Int_Tables_number 1
_symmetry_space_group_name_Hall 'P 1'
_cell_length_a 4.354
_cell_length_b 4.354
_cell_length_c 4.717
_cell_angle_alpha 90.00
_cell_angle_beta 90.00
_cell_angle_gamma 90.00
loop_
_atom_site_label
_atom_site_type_symbol
_atom_site_fract_x
_atom_site_fract_y
_atom_site_fract_z
Pa1 Pa 0.000 0.500 0.000
Pa2 Pa 0.500 0.000 0.000
Zn1 Zn 0.000 0.000 0.500
Hg1 Hg 0.500 0.500 0.500
```